# 1
# NdSmDyTm2

A relaxed NdSmDyTm2 crystal (PBE, the Alexandria database).

Output
calculated formation energy	1.900	eV per formula unit
space-group type	Cmcm

Cell: 7.163 8.380 7.105 Å, 126.14 90.00 90.00°
Positions (direct):
Sm1 0.750 0.999 0.998
Dy1 0.750 0.720 0.441
Dy2 0.250 0.280 0.559
Tm1 0.000 0.687 0.000
Tm2 0.500 0.313 0.000
Nd1 0.750 0.271 0.543
Tm3 0.500 0.687 0.000
Nd2 0.250 0.729 0.457
Sm2 0.250 0.001 0.002
Tm4 0.000 0.313 0.000

=====

# 2
# NdSmDyTm

A relaxed NdSmDyTm crystal (PBE, the Alexandria database).

Output
calculated formation energy	0.459	eV per formula unit
space-group type	F-43m

Cell: 5.710 5.710 5.710 Å, 60.00 60.00 60.00°
Positions (direct):
Nd1 0.250 0.250 0.250
Dy1 0.500 0.500 0.500
Sm1 0.750 0.750 0.750
Tm1 0.000 0.000 0.000

=====

# 3
# Nd2SmDy6Tm3

A relaxed Nd2SmDy6Tm3 crystal (PBE, the Alexandria database).

Output
calculated formation energy	0.247	eV per formula unit
space-group type	C2/m

Cell: 6.165 6.165 11.780 Å, 94.99 94.99 119.96°
Positions (direct):
Nd1 0.333 0.667 0.000
Dy1 0.914 0.581 0.745
Tm1 0.167 0.833 0.500
Tm2 0.833 0.167 0.500
Nd2 0.667 0.333 0.000
Dy2 0.753 0.753 0.255
Tm3 0.500 0.500 0.500
Dy3 0.581 0.914 0.745
Dy4 0.086 0.419 0.255
Sm1 0.000 0.000 0.000
Dy5 0.247 0.247 0.745
Dy6 0.419 0.086 0.255

=====

no.,electronic total energy (eV per atom)
1,-4.227
2,-4.525
3,-4.586